First-principles (PBE) data for a geometry-optimized SmDyCd14 structure, as listed in Alexandria via LeMat-Bulk.

space-group type	No. 123
formation enthalpy at 0 K	-0.143	eV/atom
calculated volume	373.1	Å³ per cell

a = 6.6311 Å, b = 6.6311 Å, c = 8.4860 Å
α = 90.00°, β = 90.00°, γ = 90.01°
Closest atoms and distances in Å follow each position.
Fractional coordinates of all 16 atoms:
Sm (0.8750, 0.8750, 0.5000)  12 Cd 3.23-3.32
Dy (0.3750, 0.3750, 0.5000)  12 Cd 3.20-3.32
Cd (0.8750, 0.8750, 0.0000)  12 Cd 3.12-3.32
Cd (0.3750, 0.3750, 0.0000)  12 Cd 3.10-3.32
Cd (0.8750, 0.3750, 0.5000)  8 Cd 3.22, 2 Sm 3.32, 2 Dy 3.32
Cd (0.8750, 0.3750, 0.0000)  12 Cd 3.11-3.32
Cd (0.3750, 0.8750, 0.5000)  8 Cd 3.22, 2 Dy 3.32, 2 Sm 3.32
Cd (0.3750, 0.8750, 0.0000)  12 Cd 3.11-3.32
Cd (0.6232, 0.1268, 0.2407)  10 Cd 3.10-3.34, 1 Dy 3.20, 1 Sm 3.23
Cd (0.6232, 0.1268, 0.7593)  10 Cd 3.10-3.34, 1 Dy 3.20, 1 Sm 3.23
Cd (0.1268, 0.6232, 0.2407)  10 Cd 3.10-3.34, 1 Dy 3.20, 1 Sm 3.23
Cd (0.1268, 0.6232, 0.7593)  10 Cd 3.10-3.34, 1 Dy 3.20, 1 Sm 3.23
Cd (0.6233, 0.6233, 0.2407)  10 Cd 3.10-3.34, 1 Dy 3.20, 1 Sm 3.23
Cd (0.6233, 0.6233, 0.7593)  10 Cd 3.10-3.34, 1 Dy 3.20, 1 Sm 3.23
Cd (0.1267, 0.1267, 0.2407)  10 Cd 3.10-3.34, 1 Dy 3.20, 1 Sm 3.23
Cd (0.1267, 0.1267, 0.7593)  10 Cd 3.10-3.34, 1 Dy 3.20, 1 Sm 3.23

First-principles (PBE) data for a geometry-optimized AcHoTlHg structure, as listed in Alexandria via LeMat-Bulk.

space-group type	No. 99
formation enthalpy at 0 K	-0.399	eV/atom
calculated volume	120.1	Å³ per cell

a = 3.8851 Å, b = 3.8851 Å, c = 7.9563 Å
α = 90.00°, β = 90.00°, γ = 90.00°
Closest atoms and distances in Å follow each position.
Fractional coordinates of all 4 atoms:
Ac (0.5000, 0.5000, 0.1129)  4 Hg 3.54, 4 Tl 3.57, 1 Ho 3.83, 4 Ac 3.89
Ho (0.5000, 0.5000, 0.5947)  4 Hg 3.18, 4 Tl 3.31
Tl (0.0000, 0.0000, 0.8267)  4 Ho 3.31, 1 Hg 3.45, 4 Ac 3.57
Hg (0.0000, 0.0000, 0.3937)  4 Ho 3.18, 1 Tl 3.45, 4 Ac 3.54

First-principles (PBE) data for a geometry-optimized Ba8Zn2Ag structure, as listed in Alexandria via LeMat-Bulk.

space-group type	No. 12
formation enthalpy at 0 K	-0.071	eV/atom
calculated volume	498.0	Å³ per cell

a = 5.9030 Å, b = 8.2123 Å, c = 11.0724 Å
α = 105.12°, β = 105.46°, γ = 90.00°
Closest atoms and distances in Å follow each position.
Fractional coordinates of all 11 atoms:
Ba (0.4068, 0.5598, 0.8137)  1 Ag 3.62, 2 Zn 3.93
Ba (0.6684, 0.9716, 0.3369)  3 Zn 3.43-3.69, 1 Ag 3.66
Ba (0.7927, 0.6740, 0.5854)  1 Zn 3.37
Ba (0.9631, 0.2004, 0.9261)  1 Zn 3.44, 2 Ag 3.57
Ba (0.2073, 0.3260, 0.4146)  1 Zn 3.37
Ba (0.3316, 0.0284, 0.6631)  3 Zn 3.43-3.69, 1 Ag 3.66
Ba (0.5932, 0.4402, 0.1863)  1 Ag 3.62, 2 Zn 3.93
Ba (0.0369, 0.7996, 0.0739)  1 Zn 3.44, 2 Ag 3.57
Zn (0.8131, 0.2808, 0.6261)  5 Ba 3.37-3.69
Zn (0.1869, 0.7192, 0.3739)  5 Ba 3.37-3.69
Ag (0.5000, 0.0000, 0.0000)  8 Ba 3.57-3.66

First-principles (PBE) data for a geometry-optimized Cr2SiOs structure, as listed in Alexandria via LeMat-Bulk.

space-group type	No. 122
uncorrected energy	-67.0	eV/cell
calculated volume	110.8	Å³ per cell

a = 6.6655 Å, b = 6.6655 Å, c = 5.3321 Å
α = 51.32°, β = 51.32°, γ = 90.00°
Closest atoms and distances in Å follow each position.
Fractional coordinates of all 8 atoms:
Cr (0.6265, 0.1250, 0.2500)  2 Os 2.43, 2 Si 2.44, 2 Cr 2.49
Cr (0.1235, 0.6250, 0.2500)  2 Os 2.43, 2 Si 2.44, 2 Cr 2.49
Cr (0.3750, 0.3735, 0.7500)  2 Os 2.43, 2 Si 2.44, 2 Cr 2.49
Cr (0.8750, 0.8765, 0.7500)  2 Os 2.43, 2 Si 2.44, 2 Cr 2.49
Si (0.5000, 0.5000, 0.0000)  4 Cr 2.44, 2 Os 2.49
Si (0.2500, 0.7500, 0.5000)  4 Cr 2.44, 2 Os 2.49
Os (0.0000, 0.0000, 0.0000)  4 Cr 2.43, 2 Si 2.49
Os (0.7500, 0.2500, 0.5000)  4 Cr 2.43, 2 Si 2.49

First-principles (PBE) data for a geometry-optimized Na7Tl2Cd structure, as listed in Alexandria via LeMat-Bulk.

space-group type	No. 65
formation enthalpy at 0 K	0.104	eV/atom
calculated volume	398.9	Å³ per cell

a = 5.6387 Å, b = 9.0049 Å, c = 9.0049 Å
α = 119.25°, β = 90.00°, γ = 90.00°
Closest atoms and distances in Å follow each position.
Fractional coordinates of all 10 atoms:
Na (0.0000, 0.7783, 0.2217)  2 Tl 3.06
Na (0.0000, 0.2217, 0.7783)  2 Tl 3.06
Na (0.5000, 0.0637, 0.2993)  2 Tl 3.18-3.26, 2 Na 3.31-3.43
Na (0.5000, 0.9363, 0.7007)  2 Tl 3.18-3.26, 2 Na 3.31-3.43
Na (0.5000, 0.2993, 0.0637)  2 Tl 3.18-3.26, 2 Na 3.31-3.43
Na (0.5000, 0.7007, 0.9363)  2 Tl 3.18-3.26, 2 Na 3.31-3.43
Na (0.5000, 0.5000, 0.5000)  2 Tl 3.13, 4 Na 3.43
Tl (0.5000, 0.7016, 0.2984)  7 Na 3.06-3.26
Tl (0.5000, 0.2984, 0.7016)  7 Na 3.06-3.26
Cd (0.0000, 0.0000, 0.0000)  10 Na 3.44-3.75

First-principles (PBE) data for a geometry-optimized LuSc2Nb structure, as listed in Alexandria via LeMat-Bulk.

space-group type	No. 166
formation enthalpy at 0 K	0.173	eV/atom
calculated volume	93.5	Å³ per cell

a = 3.1975 Å, b = 3.1975 Å, c = 10.7191 Å
α = 81.42°, β = 81.42°, γ = 60.00°
Closest atoms and distances in Å follow each position.
Fractional coordinates of all 4 atoms:
Sc (0.2576, 0.2576, 0.2271)  3 Nb 3.03, 6 Sc 3.20
Sc (0.7424, 0.7424, 0.7729)  3 Nb 3.03, 6 Sc 3.20
Nb (0.0000, 0.0000, 0.0000)  6 Sc 3.03, 6 Nb 3.20
Lu (0.5000, 0.5000, 0.5000)  6 Lu 3.20, 6 Sc 3.42

First-principles (PBE) data for a geometry-optimized KTm2MgTe4 structure, as listed in Alexandria via LeMat-Bulk.

space-group type	No. 63
uncorrected energy	-66.4	eV/cell
calculated volume	520.5	Å³ per cell

a = 4.4285 Å, b = 7.8389 Å, c = 15.6315 Å
α = 90.00°, β = 90.00°, γ = 106.41°
Closest atoms and distances in Å follow each position.
Fractional coordinates of all 16 atoms:
K (0.1237, 0.2474, 0.7500)  6 Te 3.45-3.57
K (0.8763, 0.7526, 0.2500)  6 Te 3.45-3.57
Tm (0.3752, 0.7503, 0.5570)  6 Te 3.04-3.21
Tm (0.6248, 0.2497, 0.0570)  6 Te 3.04-3.21
Tm (0.6248, 0.2497, 0.4430)  6 Te 3.04-3.21
Tm (0.3752, 0.7503, 0.9430)  6 Te 3.04-3.21
Mg (0.8409, 0.6818, 0.7500)  4 Te 2.74
Mg (0.1591, 0.3182, 0.2500)  4 Te 2.74
Te (0.2644, 0.5287, 0.1070)  1 Mg 2.74, 1 Tm 3.06
Te (0.7356, 0.4713, 0.6070)  1 Mg 2.74, 1 Tm 3.06
Te (0.7356, 0.4713, 0.8930)  1 Mg 2.74, 1 Tm 3.06
Te (0.2644, 0.5287, 0.3930)  1 Mg 2.74, 1 Tm 3.06
Te (0.0000, 0.0000, 0.5000)  4 Tm 3.04
Te (0.0000, 0.0000, 0.0000)  4 Tm 3.04
Te (0.4482, 0.8964, 0.7500)  2 Mg 2.74
Te (0.5518, 0.1036, 0.2500)  2 Mg 2.74

First-principles (PBE) data for a geometry-optimized GaRuBr3 structure, as listed in Alexandria via LeMat-Bulk.

space-group type	No. 221
uncorrected energy	-17.4	eV/cell
calculated volume	136.0	Å³ per cell

a = 5.1431 Å, b = 5.1431 Å, c = 5.1431 Å
α = 90.00°, β = 90.00°, γ = 90.00°
Closest atoms and distances in Å follow each position.
Fractional coordinates of all 5 atoms:
Ru (0.0000, 0.0000, 0.0000)  6 Br 2.57
Ga (0.5000, 0.5000, 0.5000)  12 Br 3.64
Br (0.0000, 0.5000, 0.0000)  2 Ru 2.57
Br (0.0000, 0.0000, 0.5000)  2 Ru 2.57
Br (0.5000, 0.0000, 0.0000)  2 Ru 2.57